Density functional theory data (PBE) for crystalline MgGaHg2 at its relaxed geometry.

## Properties
- total energy (eV/atom) = -1.28
- calculated density (g/cm³) = 9.20

abc: 5.018 5.018 5.018
angles: 60.00 60.00 60.00
Fractional positions:
Mg 0.250 0.250 0.250
Hg 0.000 0.000 0.000
Hg 0.750 0.750 0.750
Ga 0.500 0.500 0.500